DFT (GGA+U) results for a relaxed CsMoO4 crystal.

Calculated values
offset from the most stable computed form: 0.000 eV per atom
total energy: -73.4 eV/cell

Cell lengths 5.4302, 6.5886, 8.1815 Å; angles 67.29, 83.20, 89.07 degrees
Last column: nearest neighbours and their distance in Å.
Space group P-1 (No. 2)
One atom of each set of equivalent atoms:
Cs 0.1593 0.3389 0.2758 (multiplicity 2)  6 O 3.01-3.33
Mo 0.2722 0.1153 0.8467 (multiplicity 2)  4 O 1.76-1.95
O 0.0378 0.8269 0.0349 (multiplicity 2)  1 Mo 1.95, 1 O 2.17
O 0.2019 0.0592 0.6635 (multiplicity 2)  1 Mo 1.76
O 0.3697 0.3946 0.7512 (multiplicity 2)  1 Mo 1.76
O 0.4380 0.0605 0.1033 (multiplicity 2)  1 Mo 1.93